# 1
Here is a relaxed Rb3Ag2PbBr9 crystal from Alexandria via LeMat-Bulk. Energies are from PBE-GGA.

## Properties
Mass density, kg/m3: 4420
D(E_F), states/eV/f.u.: 6.1
E_tot, eV per atom: -2.801
Energy relative to the elements, uncorrected, eV per formula unit: -14.64

Cell: 7.888 7.888 9.751 Å, 90.00 90.00 120.00°
Fractional coordinates of all 15 atoms:
Rb: 0.333 0.667 0.690
Rb: 0.000 0.000 0.000
Rb: 0.667 0.333 0.310
Ag: 0.333 0.667 0.156
Ag: 0.667 0.333 0.844
Pb: 0.000 0.000 0.500
Br: 0.829 0.171 0.673
Br: 0.829 0.657 0.673
Br: 0.343 0.171 0.673
Br: 0.657 0.829 0.327
Br: 0.171 0.343 0.327
Br: 0.171 0.829 0.327
Br: 0.500 0.000 0.000
Br: 0.000 0.500 0.000
Br: 0.500 0.500 0.000


# 2
Here is a relaxed ErTlHg crystal from Alexandria via LeMat-Bulk. Energies are from PBE-GGA.

## Properties
Mass density, kg/m3: 12272
D(E_F), states/eV/f.u.: 1.3
Distance to the lowest polymorph of the same formula, eV per formula unit: 0.13
E_tot, eV per atom: -2.670

Cell: 3.703 4.914 4.914 Å, 120.00 90.00 90.00°
Fractional coordinates of all 3 atoms:
Tl: 0.054 0.000 0.000
Hg: 0.294 0.333 0.667
Er: 0.653 0.667 0.333


# 3
Here is a relaxed ScTiCu2S crystal from Alexandria via LeMat-Bulk. Energies are from PBE-GGA.

## Properties
Mass density, kg/m3: 4774
D(E_F), states/eV/f.u.: 3.5
E_tot, eV per atom: -5.316
Energy relative to the elements, uncorrected, eV per formula unit: -0.04

Cell: 4.398 4.530 4.398 Å, 90.00 90.00 90.00°
Last column: magnetic moment on the atom in μB.
Fractional coordinates of all 5 atoms:
Sc: 0.500 0.500 0.500  0.33
S: 0.000 0.000 0.000  -0.01
Cu: 0.000 0.000 0.500  0.02
Cu: 0.500 0.000 0.000  0.01
Ti: 0.000 0.500 0.000  0.72